1.
## DySn3Mo (PBE)

Data for a relaxed structure of DySn3Mo.

a b c (Å): 3.5898 6.3496 6.3734
angles (deg): 60.45 89.37 89.63
Fractional coordinates of all 5 atoms:
Dy 0.3694 0.9797 0.0064
Sn 0.8592 0.4925 0.5303
Sn 0.8675 0.9473 0.5328
Sn 0.8740 0.4959 0.9823
Mo 0.3667 0.3119 0.3449

**Energy**: -5.4562 eV/atom
**Space group**: P1
**Crystal system**: triclinic

2.
## DyTaMo (PBE)

Data for a relaxed structure of DyTaMo.

a b c (Å): 4.5795 4.5795 4.5795
angles (deg): 60.00 60.00 60.00
Fractional coordinates of all 3 atoms:
Dy 0.0000 0.0000 0.0000
Ta 0.7500 0.7500 0.7500
Mo 0.2500 0.2500 0.2500

**Energy**: -7.3817 eV/atom
**Space group**: F-43m
**Energy relative to the elements**: 1.719 eV/atom
**Crystal system**: cubic

3.
## DyTcMo (PBE)

Data for a relaxed structure of DyTcMo.

a b c (Å): 4.4907 4.4907 4.4907
angles (deg): 60.00 60.00 60.00
Fractional coordinates of all 3 atoms:
Tc 0.7500 0.7500 0.7500
Mo 0.2500 0.2500 0.2500
Dy 0.0000 0.0000 0.0000

**Energy**: -6.9892 eV/atom
**Space group**: F-43m
**Energy relative to the elements**: 1.614 eV/atom
**Crystal system**: cubic

4.
## DyTeMo (PBE)

Data for a relaxed structure of DyTeMo.

a b c (Å): 4.6913 4.6913 4.6913
angles (deg): 60.00 60.00 60.00
Fractional coordinates of all 3 atoms:
Dy 0.2500 0.2500 0.2500
Mo 0.0000 0.0000 0.0000
Te 0.7500 0.7500 0.7500

**Energy**: -5.9761 eV/atom
**Space group**: F-43m
**E above lowest polymorph**: 0 meV per atom
**Crystal system**: cubic

5.
## DyTeMo (PBE)

Data for a relaxed structure of DyTeMo.

a b c (Å): 4.9443 4.9443 4.9443
angles (deg): 60.00 60.00 60.00
Fractional coordinates of all 3 atoms:
Mo 0.2500 0.2500 0.2500
Te 0.7500 0.7500 0.7500
Dy 0.0000 0.0000 0.0000

**Energy**: -5.3998 eV/atom
**Space group**: F-43m
**E above lowest polymorph**: 576 meV per atom
**Crystal system**: cubic

6.
## DyTlMo (PBE)

Data for a relaxed structure of DyTlMo.

a b c (Å): 4.7993 4.7993 4.7993
angles (deg): 60.00 60.00 60.00
Fractional coordinates of all 3 atoms:
Mo 0.7500 0.7500 0.7500
Tl 0.0000 0.0000 0.0000
Dy 0.2500 0.2500 0.2500

**Energy**: -5.1321 eV/atom
**Space group**: F-43m
**Crystal system**: cubic

7.
## DyTmMo (PBE)

Data for a relaxed structure of DyTmMo.

a b c (Å): 4.8837 4.8837 4.8837
angles (deg): 60.00 60.00 60.00
Fractional coordinates of all 3 atoms:
Tm 0.0000 0.0000 0.0000
Dy 0.2500 0.2500 0.2500
Mo 0.7500 0.7500 0.7500

**Energy**: -5.4357 eV/atom
**Space group**: F-43m
**Energy relative to the elements**: 1.206 eV/atom
**Crystal system**: cubic

8.
## DyUMo (PBE)

Data for a relaxed structure of DyUMo.

a b c (Å): 4.7424 4.7424 4.7424
angles (deg): 60.00 60.00 60.00
Fractional coordinates of all 3 atoms:
U 0.7500 0.7500 0.7500
Mo 0.0000 0.0000 0.0000
Dy 0.2500 0.2500 0.2500

**Energy**: -8.1376 eV/atom
**Space group**: F-43m
**E above lowest polymorph**: 0 meV per atom
**Energy relative to the elements**: 0.778 eV/atom
**Crystal system**: cubic

9.
## DyYMo (PBE)

Data for a relaxed structure of DyYMo.

a b c (Å): 4.9099 4.9099 4.9099
angles (deg): 60.00 60.00 60.00
Fractional coordinates of all 3 atoms:
Dy 0.0000 0.0000 0.0000
Y 0.7500 0.7500 0.7500
Mo 0.2500 0.2500 0.2500

**Energy**: -6.0588 eV/atom
**Space group**: F-43m
**E above lowest polymorph**: 0 meV per atom
**Energy relative to the elements**: 1.246 eV/atom
**Crystal system**: cubic

10.
## DyZrMo (PBE)

Data for a relaxed structure of DyZrMo.

a b c (Å): 4.6830 4.6830 4.6830
angles (deg): 60.00 60.00 60.00
Fractional coordinates of all 3 atoms:
Mo 0.2500 0.2500 0.2500
Dy 0.0000 0.0000 0.0000
Zr 0.7500 0.7500 0.7500

**Energy**: -6.6547 eV/atom
**Space group**: F-43m
**Energy relative to the elements**: 1.344 eV/atom
**Crystal system**: cubic

11.
## Dy2N3 (PBE)

Data for a relaxed structure of Dy2N3.

a b c (Å): 9.4119 9.4119 9.4119
angles (deg): 109.47 109.47 109.47
Fractional coordinates of all 40 atoms:
N 0.9894 0.9623 0.7300
N 0.2300 0.2677 0.7406
N 0.5106 0.2406 0.9729
N 0.7677 0.5377 0.5271
N 0.7300 0.9894 0.9623
N 0.0377 0.2700 0.0106
N 0.9729 0.5106 0.2406
N 0.0271 0.4894 0.7594
N 0.2406 0.9729 0.5106
N 0.9623 0.7300 0.9894
N 0.4894 0.7594 0.0271
N 0.2323 0.4623 0.4729
N 0.2594 0.7700 0.7323
N 0.7700 0.7323 0.2594
N 0.0106 0.0377 0.2700
N 0.5377 0.5271 0.7677
N 0.2700 0.0106 0.0377
N 0.7323 0.2594 0.7700
N 0.4623 0.4729 0.2323
N 0.7406 0.2300 0.2677
N 0.7594 0.0271 0.4894
N 0.5271 0.7677 0.5377
N 0.2677 0.7406 0.2300
N 0.4729 0.2323 0.4623
Dy 0.2792 0.5292 0.7500
Dy 0.5292 0.7500 0.2792
Dy 0.5000 0.0000 0.0000
Dy 0.0000 0.5000 0.0000
Dy 0.2208 0.9708 0.2500
Dy 0.7208 0.4708 0.2500
Dy 0.9708 0.2500 0.2208
Dy 0.0000 0.0000 0.5000
Dy 0.5000 0.5000 0.5000
Dy 0.2500 0.7208 0.4708
Dy 0.7500 0.7792 0.0292
Dy 0.7500 0.2792 0.5292
Dy 0.0292 0.7500 0.7792
Dy 0.4708 0.2500 0.7208
Dy 0.7792 0.0292 0.7500
Dy 0.2500 0.2208 0.9708

**Energy**: -7.3285 eV/atom
**Space group**: Ia-3
**Crystal system**: cubic

12.
## DyN2 (PBE)

Data for a relaxed structure of DyN2.

a b c (Å): 4.5322 4.5322 4.5322
angles (deg): 60.00 60.00 60.00
Fractional coordinates of all 6 atoms:
N 0.6250 0.1250 0.6250
N 0.6250 0.6250 0.6250
N 0.6250 0.6250 0.1250
N 0.1250 0.6250 0.6250
Dy 0.2500 0.2500 0.2500
Dy 0.0000 0.0000 0.0000

**Energy**: -5.9356 eV/atom
**Space group**: Fd-3m
**Crystal system**: cubic

13.
## DyN2 (PBE)

Data for a relaxed structure of DyN2.

a b c (Å): 7.2030 7.2030 7.2030
angles (deg): 60.00 60.00 60.00
Fractional coordinates of all 6 atoms:
N 0.5000 0.0000 0.0000
N 0.0000 0.5000 0.0000
N 0.0000 0.0000 0.5000
N 0.0000 0.0000 0.0000
Dy 0.1250 0.1250 0.1250
Dy 0.8750 0.8750 0.8750

**Energy**: -6.0949 eV/atom
**Space group**: Fd-3m
**Crystal system**: cubic

14.
## Dy5N (PBE)

Data for a relaxed structure of Dy5N.

a b c (Å): 6.1570 6.1570 5.9901
angles (deg): 90.00 90.00 120.00
Fractional coordinates of all 6 atoms:
N 0.0000 0.0000 0.0000
Dy 0.5000 0.5000 0.5000
Dy 0.5000 0.0000 0.5000
Dy 0.6667 0.3333 0.0000
Dy 0.3333 0.6667 0.0000
Dy 0.0000 0.5000 0.5000

**Energy**: -3.8227 eV/atom
**Space group**: P6/mmm
**Crystal system**: hexagonal

15.
## DyN (PBE)

Data for a relaxed structure of DyN.

a b c (Å): 3.4586 3.4586 3.4586
angles (deg): 60.00 60.00 60.00
Fractional coordinates of all 2 atoms:
N 0.5000 0.5000 0.5000
Dy 0.0000 0.0000 0.0000

**Energy**: -8.1693 eV/atom
**Space group**: Fm-3m
**Crystal system**: cubic

Respective mass density values: 8.08, 10.74, 9.24, 8.78, 7.50, 9.83, 8.62, 10.93, 6.89, 8.00, 7.60, 9.61, 2.39, 6.98, 10.02 g/cm3.